First-principles (PBE-GGA) data for a relaxed structure of NaTlSbO2, as listed in Alexandria via LeMat-Bulk.

The structure in POSCAR format:
```
NaTlSbO2
1.0
-3.789 0.255 -2.264
1.641 -4.615 -3.267
-1.916 -2.733 2.899
Sb Tl O Na
1 1 2 1
Cartesian
0.821 -2.308 -1.633
0.000 0.000 0.000
-0.958 -1.367 1.449
-1.894 0.128 -1.132
-2.032 -3.547 -1.316
```

Computed properties:
symmetry	No. 123
total moment	1.6	Bohr magnetons per cell
V	23.01	Å³ per atom
density	5.5	g cm⁻³
DOS(E_F)	5.10	states/eV/cell



First-principles (PBE-GGA) data for a relaxed structure of Na2Tm2SbO6, as listed in Alexandria via LeMat-Bulk.

The structure in POSCAR format:
```
Na2Tm2SbO6
1.0
-0.063 5.293 2.399
-2.090 -4.553 2.945
5.784 -1.158 0.582
Na Tm Sb O
2 2 1 6
Cartesian
-0.390 3.705 2.487
-1.763 -2.965 2.857
1.481 -1.832 3.053
2.149 1.413 2.873
2.892 -0.579 0.291
2.430 -0.256 4.397
3.223 -2.286 1.657
1.201 -0.162 1.528
3.898 0.994 1.476
0.407 1.867 4.268
-0.268 -1.412 4.450
```

Computed properties:
symmetry	No. 12
total moment	0.3	Bohr magnetons per cell
V	15.05	Å³ per atom
density	6.0	g cm⁻³
DOS(E_F)	5.04	states/eV/cell



First-principles (PBE-GGA) data for a relaxed structure of NaTm2SbO6, as listed in Alexandria via LeMat-Bulk.

The structure in POSCAR format:
```
NaTm2SbO6
1.0
-0.817 -0.057 -5.562
3.086 -3.384 -3.260
-2.663 -4.786 -2.401
Na Tm Sb O
1 2 1 6
Cartesian
0.187 -5.656 -8.494
0.061 -3.839 -5.652
-2.483 -4.595 -2.430
0.637 -1.274 -2.922
-0.360 -1.946 -4.539
2.132 -4.353 -4.984
0.383 -3.119 -7.745
-0.212 -6.051 -6.266
-2.152 -4.217 -6.201
-0.971 -4.992 -3.935
```

Computed properties:
symmetry	No. 146
total moment	0.0	Bohr magnetons per cell
V	13.75	Å³ per atom
density	7.0	g cm⁻³
DOS(E_F)	0.00	states/eV/cell



First-principles (PBE-GGA) data for a relaxed structure of NaTmSb2O8, as listed in Alexandria via LeMat-Bulk.

The structure in POSCAR format:
```
NaTmSb2O8
1.0
-1.238 5.372 1.923
-4.316 -3.782 -1.077
0.351 -2.270 6.567
Na Tm Sb O
1 1 2 8
Cartesian
0.175 -1.135 3.284
0.000 0.000 0.000
-2.251 2.234 1.174
-2.953 -2.914 6.240
-3.579 0.728 6.878
-1.529 -1.191 6.105
-0.766 1.478 6.987
-1.625 -1.409 0.536
-3.675 0.510 1.309
-4.437 -2.159 0.427
-2.151 1.589 3.040
-3.052 -2.269 4.374
```

Computed properties:
symmetry	No. 147
total moment	2.0	Bohr magnetons per cell
V	17.12	Å³ per atom
density	4.6	g cm⁻³
DOS(E_F)	11.79	states/eV/cell



First-principles (PBE-GGA) data for a relaxed structure of NaU2SbO8, as listed in Alexandria via LeMat-Bulk.

The structure in POSCAR format:
```
NaU2SbO8
1.0
-2.264 0.988 4.413
1.832 -4.236 2.079
5.719 3.527 2.145
Na U Sb O
1 2 1 8
Cartesian
2.859 1.763 1.073
4.054 1.010 4.847
1.232 -0.731 3.789
0.000 0.000 0.000
2.298 -2.249 3.098
-0.294 -2.223 4.438
-0.005 0.682 4.416
2.989 2.528 5.539
5.580 2.502 4.198
5.291 -0.403 4.220
2.571 -0.418 5.428
2.715 0.697 3.209
```

Computed properties:
symmetry	No. 65
total moment	0.0	Bohr magnetons per cell
V	15.04	Å³ per atom
density	6.9	g cm⁻³



no.,E (eV per atom),formation energy without anion corrections (kJ/mol of formula units)
1,-3.36,91.3
2,-6.51,-2524.2
3,-7.04,-2529.7
4,-5.78,-1506.1
5,-8.18,-2942.2